No. 1
Here is Sr4GeN4 after structural relaxation from Alexandria. Energies are from PBEsol.

```
Sr4GeN4
1.0
-2.037 -5.320 -2.028
7.831 -4.439 3.779
-5.771 -1.623 10.053
Sr N Ge
16 16 4
Direct
0.617 0.103 0.129
0.117 0.897 0.129
0.617 0.397 0.371
0.857 0.750 0.750
0.383 0.897 0.871
0.750 0.428 0.000
0.750 0.072 0.500
0.883 0.103 0.871
0.383 0.603 0.629
0.643 0.750 0.250
0.250 0.572 0.000
0.117 0.603 0.371
0.143 0.250 0.250
0.250 0.928 0.500
0.357 0.250 0.750
0.883 0.397 0.629
0.515 0.647 0.429
0.403 0.358 0.114
0.903 0.642 0.114
0.015 0.353 0.429
0.097 0.358 0.886
0.403 0.142 0.386
0.597 0.642 0.886
0.985 0.853 0.929
0.015 0.147 0.071
0.903 0.858 0.386
0.515 0.853 0.071
0.597 0.858 0.614
0.985 0.647 0.571
0.485 0.147 0.929
0.097 0.142 0.614
0.485 0.353 0.571
0.750 0.754 0.500
0.250 0.254 0.000
0.250 0.246 0.500
0.750 0.746 0.000
```

No. 2
Here is TcGe3N after structural relaxation from Alexandria. Energies are from PBEsol.

```
TcGe3N
1.0
4.709 0.000 0.000
0.000 4.709 0.000
0.000 0.000 4.709
Ge N Tc
3 1 1
Direct
0.000 0.500 0.000
0.500 0.000 0.000
0.000 0.000 0.500
0.500 0.500 0.500
0.000 0.000 0.000
```

No. 3
Here is TcGeTe2N after structural relaxation from Alexandria. Energies are from PBEsol.

```
TcGeTe2N
1.0
-0.990 0.782 3.205
3.839 -3.281 1.987
3.504 4.144 0.071
N Ge Te Tc
1 1 2 1
Direct
0.500 0.000 0.000
0.000 0.000 0.000
0.000 0.500 0.000
0.000 0.000 0.500
0.500 0.500 0.500
```

No. 4
Here is Y2TcGeN after structural relaxation from Alexandria. Energies are from PBEsol.

```
Y2TcGeN
1.0
3.882 0.000 0.000
0.000 4.775 0.000
0.000 0.000 4.775
Y N Ge Tc
2 1 1 1
Direct
0.000 0.000 0.500
0.000 0.500 0.000
0.000 0.000 0.000
0.500 0.500 0.500
0.500 0.000 0.000
```

Number 1: formation energy without anion corrections -0.66 eV per atom. Number 2: formation energy without anion corrections 1.10 eV per atom. Number 3: formation energy without anion corrections 1.12 eV per atom. Number 4: formation energy without anion corrections -0.87 eV per atom.